Material: Pr2MgCd
Method: DFT, PBE
State: optimized geometry

Results
Crystal system   tetragonal
E   -12.9 eV per formula unit
Formation energy   -0.22 eV per atom

a = 5.4890 Å, b = 5.4890 Å, c = 3.9151 Å
α = 90.00°, β = 90.00°, γ = 90.00°
Space group P4/mmm (No. 123)
One atom of each set of equivalent atoms:
1 Pr 0.0000 0.5000 0.0000 x2
2 Mg 0.0000 0.0000 0.5000 x1
3 Cd 0.5000 0.5000 0.5000 x1



Material: PrMgCd3
Method: DFT, PBE
State: optimized geometry

Results
Crystal system   monoclinic
E   -10.2 eV per formula unit
Formation energy   -0.22 eV per atom

a = 15.3516 Å, b = 4.9366 Å, c = 6.8924 Å
α = 90.00°, β = 105.04°, γ = 90.00°
Space group C2/m (No. 12)
One atom of each set of equivalent atoms:
1 Pr 0.1283 0.0000 0.4850 x4
2 Mg 0.0220 0.5000 0.7314 x4
3 Cd 0.0837 0.0000 0.9328 x4
4 Cd 0.1605 0.5000 0.1957 x4
5 Cd 0.2239 0.5000 0.8090 x4



Material: PrMg10Cd2
Method: DFT, PBE
State: optimized geometry

Results
Crystal system   orthorhombic
E   -23.9 eV per formula unit
Formation energy   -0.10 eV per atom

a = 5.9874 Å, b = 14.2793 Å, c = 14.3642 Å
α = 90.00°, β = 90.00°, γ = 90.00°
Space group Fmmm (No. 69)
One atom of each set of equivalent atoms:
1 Pr 0.0000 0.0000 0.0000 x4
2 Mg 0.0000 0.1081 0.3945 x16
3 Mg 0.0000 0.1769 0.1736 x16
4 Mg 0.2500 0.0000 0.2500 x8
5 Cd 0.2500 0.2500 0.0000 x8



Material: PrMgCd11
Method: DFT, PBE
State: optimized geometry

Results
Crystal system   monoclinic
E   -18.3 eV per formula unit
Formation energy   -0.15 eV per atom

a = 5.9966 Å, b = 14.0745 Å, c = 7.6651 Å
α = 90.00°, β = 112.95°, γ = 90.00°
Space group C2/m (No. 12)
One atom of each set of equivalent atoms:
1 Pr 0.0000 0.0000 0.0000 x2
2 Mg 0.0000 0.5000 0.5000 x2
3 Cd 0.0000 0.0000 0.5000 x2
4 Cd 0.1019 0.3935 0.2149 x8
5 Cd 0.1798 0.1746 0.3521 x8
6 Cd 0.2500 0.2500 0.0000 x4



Material: PrMg3Cd4
Method: DFT, PBE
State: optimized geometry

Results
Crystal system   tetragonal
E   -14.8 eV per formula unit
Formation energy   -0.20 eV per atom

a = 4.9162 Å, b = 4.9162 Å, c = 7.8010 Å
α = 90.00°, β = 90.00°, γ = 90.00°
Space group P4/mmm (No. 123)
One atom of each set of equivalent atoms:
1 Pr 0.0000 0.0000 0.0000 x1
2 Mg 0.0000 0.0000 0.5000 x1
3 Mg 0.5000 0.5000 0.0000 x1
4 Mg 0.5000 0.5000 0.5000 x1
5 Cd 0.0000 0.5000 0.2694 x4



Material: Pr2MgCd12
Method: DFT, PBE
State: optimized geometry

Results
Crystal system   tetragonal
E   -23.6 eV per formula unit
Formation energy   -0.09 eV per atom

a = 6.4552 Å, b = 6.4552 Å, c = 18.3312 Å
α = 90.00°, β = 90.00°, γ = 90.00°
Space group P4/nbm (No. 125, origin choice 2)
One atom of each set of equivalent atoms:
1 Pr 0.2500 0.7500 0.2505 x4
2 Mg 0.2500 0.7500 0.0000 x2
3 Cd 0.0001 0.9999 0.0952 x8
4 Cd 0.0864 0.5864 0.4314 x8
5 Cd 0.2500 0.2500 0.1921 x4
6 Cd 0.2500 0.2500 0.3410 x4